# PBE Sc4P6Ir7, optimized geometry
data_Sc4P6Ir7
_cell_length_a 8.009
_cell_length_b 8.009
_cell_length_c 8.009
_cell_angle_alpha 90.00
_cell_angle_beta 90.00
_cell_angle_gamma 90.00
_space_group_name_H-M_alt 'I m -3 m'
_space_group_IT_number 229
_space_group_name_Hall '-I 4 2 3'
loop_
_atom_site_label
_atom_site_type_symbol
_atom_site_fract_x
_atom_site_fract_y
_atom_site_fract_z
Sc1 Sc 0.250 0.250 0.250
P1 P 0.000 0.000 0.318
Ir1 Ir 0.000 0.000 0.000
Ir2 Ir 0.000 0.250 0.500
# DOS(E_F) (states/eV/cell): 16.631
# Formation energy from the elements (eV/atom): -0.9495
# Theoretical density (g/cm³): 11.1

***

# PBE PrYHo2, optimized geometry
data_PrYHo2
_cell_length_a 3.6135
_cell_length_b 3.6135
_cell_length_c 34.6726
_cell_angle_alpha 90.00
_cell_angle_beta 90.00
_cell_angle_gamma 120.00
_space_group_name_H-M_alt 'R 3 m'
_space_group_IT_number 160
_space_group_name_Hall 'R 3 -2"'
loop_
_atom_site_label
_atom_site_type_symbol
_atom_site_fract_x
_atom_site_fract_y
_atom_site_fract_z
Pr1 Pr 0.0000 0.0000 0.0000
Y1 Y 0.0000 0.0000 0.1659
Ho1 Ho 0.0000 0.0000 0.4177
Ho2 Ho 0.0000 0.0000 0.5816
# DOS(E_F) (states/eV/cell): 19.478
# Formation energy from the elements (eV/atom): 0.0087
# Theoretical density (g/cm³): 7.1
# Polymorph energy (0 for the lowest one) (meV per atom): 0

***

# PBE CeH4Pd, optimized geometry
data_CeH4Pd
_cell_length_a 12.733
_cell_length_b 3.854
_cell_length_c 4.893
_cell_angle_alpha 90.00
_cell_angle_beta 94.23
_cell_angle_gamma 90.00
_space_group_name_H-M_alt 'C 1 2/m 1'
_space_group_IT_number 12
_space_group_name_Hall '-C 2y'
loop_
_atom_site_label
_atom_site_type_symbol
_atom_site_fract_x
_atom_site_fract_y
_atom_site_fract_z
Ce1 Ce 0.152 0.000 0.248
H1 H 0.057 0.000 0.771
H2 H 0.069 0.500 0.392
H3 H 0.183 0.500 0.951
H4 H 0.238 0.500 0.368
Pd1 Pd 0.060 0.500 0.765
# DOS(E_F) (states/eV/cell): 26.534
# Raw total energy (eV/atom): -4.4978
# Theoretical density (g/cm³): 6.9

***

Q: Among the records above, which one has the highest DOS(E_F)?
A: CeH4Pd